Entry 1:
PBE DyCu2Pt4, optimized geometry; formation enthalpy at 0 K = -0.51 eV per atom; space-group type = No. 12; calculated volume = 115.9 Å³ per cell; total moment = 0.00 μB per formula unit
1.0
4.534 0.007 2.432
2.109 4.736 1.522
0.039 -0.337 5.393
Pt Cu Dy
4 2 1
Cartesian
3.480 4.603 4.414
3.201 -0.196 4.932
2.242 1.567 6.731
4.440 2.839 2.616
2.208 2.200 4.063
4.474 2.207 5.283
6.682 4.407 9.346


Entry 2:
PBE YMg2, optimized geometry; formation enthalpy at 0 K = -0.05 eV per atom; space-group type = No. 194; calculated volume = 155.2 Å³ per cell; total moment = 0.00 μB per formula unit
1.0
5.307 0.000 0.000
-2.654 4.596 0.000
0.000 0.000 6.362
Mg Y
4 2
Cartesian
0.000 0.000 0.000
0.000 0.000 3.181
0.000 3.064 4.771
2.654 1.532 1.590
0.000 3.064 1.590
2.654 1.532 4.771


Entry 3:
PBE Be2PSe, optimized geometry; space-group type = No. 47; calculated volume = 53.7 Å³ per cell; offset from the most stable computed form = 0.546 eV/atom; ΔE_f (raw) = 0.206 eV/atom; total moment = 0.00 μB per formula unit
1.0
3.219 0.000 0.000
0.000 2.648 -0.007
0.000 0.021 6.293
Be Se P
2 1 1
Cartesian
0.000 1.984 0.283
0.000 1.998 2.854
1.610 2.002 4.715
1.610 0.667 1.572


Entry 4:
PBE Pm12AlRu7, optimized geometry; formation enthalpy at 0 K = -0.20 eV per atom; space-group type = No. 148; calculated volume = 541.7 Å³ per cell; total moment = 0.00 μB per formula unit
1.0
8.931 -0.315 -0.473
-2.786 8.492 -0.473
-2.786 -3.707 7.655
Pm Ru Al
12 7 1
Cartesian
4.891 -0.094 5.054
-0.982 1.145 2.824
3.155 6.005 1.860
4.810 1.605 0.452
-1.450 2.865 6.258
0.204 -1.535 4.849
1.987 1.623 6.198
1.007 4.811 4.565
1.373 2.847 0.511
-1.531 4.564 1.655
4.341 3.325 3.885
2.353 -0.341 2.144
7.460 1.907 -0.309
1.680 2.235 3.355
-4.100 2.563 7.018
-3.054 6.882 1.641
-0.242 -3.249 6.983
3.602 7.719 -0.274
6.413 -2.412 5.068
0.000 0.000 0.000